No. 1
Computed, not measured: a relaxed structure of Si3Mo at the PBE level of DFT.

```
Si3Mo
1.0
8.0570 0.0000 0.0000
-4.0285 6.9775 0.0000
0.0000 0.0000 3.1058
Si Mo
9 3
Direct
0.0000 0.5000 0.0000
0.1667 0.3333 0.3333
0.1667 0.8333 0.3333
0.3333 0.1667 0.6667
0.5000 0.0000 0.0000
0.5000 0.5000 0.0000
0.6667 0.8333 0.3333
0.8333 0.1667 0.6667
0.8333 0.6667 0.6667
0.0000 0.0000 0.0000
0.3333 0.6667 0.6667
0.6667 0.3333 0.3333
```

Summary:
ΔE to the lowest computed polymorph: 400 meV/atom



No. 2
Computed, not measured: a relaxed structure of SiMo at the PBE level of DFT.

```
SiMo
1.0
3.1360 0.0000 0.0000
-1.5680 2.7159 0.0000
0.0000 0.0000 3.5086
Si Mo
1 1
Direct
0.0000 0.0000 0.0000
0.3333 0.6667 0.5000
```



No. 3
Computed, not measured: a relaxed structure of SiMo3 at the PBE level of DFT.

```
SiMo3
1.0
5.4505 0.0000 0.0000
-2.7253 4.7203 0.0000
0.0000 0.0000 9.3597
Si Mo
4 12
Direct
0.0000 0.0000 0.0000
0.0000 0.0000 0.5000
0.3333 0.6667 0.2500
0.6667 0.3333 0.7500
0.0000 0.5000 0.0000
0.0000 0.5000 0.5000
0.1649 0.3298 0.7500
0.1649 0.8351 0.7500
0.3298 0.1649 0.2500
0.5000 0.0000 0.0000
0.5000 0.0000 0.5000
0.5000 0.5000 0.0000
0.5000 0.5000 0.5000
0.6702 0.8351 0.7500
0.8351 0.1649 0.2500
0.8351 0.6702 0.2500
```

Summary:
ΔE to the lowest computed polymorph: 290 meV/atom



No. 4
Computed, not measured: a relaxed structure of SiMo at the PBE level of DFT.

```
SiMo
1.0
3.8592 0.0000 0.0000
-1.9296 3.3421 0.0000
0.0000 0.0000 4.8726
Si Mo
2 2
Direct
0.0000 0.0000 0.0000
0.0000 0.0000 0.5000
0.3333 0.6667 0.2500
0.6667 0.3333 0.7500
```



| no. | raw formation energy (eV/atom) | E (eV/cell) |
| --- | --- | --- |
| 1 | 0.26 | -78.19 |
| 2 | -0.31 | -16.87 |
| 3 | -0.03 | -152.22 |
| 4 | 0.08 | -32.19 |